Record 1
Below is an optimized crystal structure of SmTaZn, with properties calculated at the PBE level.

Cell lengths 4.6291, 4.6291, 4.6291 Å; angles 60.00, 60.00, 60.00 degrees
Element x y z (fractional)
1 Sm 0.2500 0.2500 0.2500
2 Ta 0.7500 0.7500 0.7500
3 Zn 0.0000 0.0000 0.0000

Calculated values
Space-group type: No. 216
ΔE to the lowest computed polymorph, eV per atom: 0.0000
DFT formation energy, kJ/mol of atoms: 60.4
Electronic total energy, eV/atom: -5.3168
Magnetization, μB/f.u.: 0.01


Record 2
Below is an optimized crystal structure of SmTaZn, with properties calculated at the PBE level.

Cell lengths 4.8081, 4.8081, 4.8081 Å; angles 60.00, 60.00, 60.00 degrees
Element x y z (fractional)
1 Sm 0.0000 0.0000 0.0000
2 Ta 0.2500 0.2500 0.2500
3 Zn 0.7500 0.7500 0.7500

Calculated values
Space-group type: No. 216
ΔE to the lowest computed polymorph, eV per atom: 0.7156
DFT formation energy, kJ/mol of atoms: 129.4
Electronic total energy, eV/atom: -4.6012
Magnetization, μB/f.u.: 2.16


Record 3
Below is an optimized crystal structure of TbSm2, with properties calculated at the PBE level.

Cell lengths 6.6316, 6.6316, 6.6316 Å; angles 60.00, 60.00, 60.00 degrees
Element x y z (fractional)
1 Sm 0.6250 0.6250 0.1250
2 Sm 0.6250 0.1250 0.6250
3 Sm 0.1250 0.6250 0.6250
4 Sm 0.6250 0.6250 0.6250
5 Tb 0.0000 0.0000 0.0000
6 Tb 0.2500 0.2500 0.2500

Calculated values
Space-group type: No. 227
ΔE to the lowest computed polymorph, eV per atom: 0.0000
DFT formation energy, kJ/mol of atoms: 24.9
Electronic total energy, eV/atom: -4.4259
Magnetization, μB/f.u.: 0.11


Record 4
Below is an optimized crystal structure of Tb2Sm, with properties calculated at the PBE level.

Cell lengths 6.5980, 6.5980, 6.5980 Å; angles 60.00, 60.00, 60.00 degrees
Each line ends with the local moment (μB).
Element x y z (fractional)
1 Sm 0.0000 0.0000 0.0000  0.15
2 Sm 0.2500 0.2500 0.2500  0.15
3 Tb 0.6250 0.6250 0.1250  0.02
4 Tb 0.6250 0.1250 0.6250  0.02
5 Tb 0.1250 0.6250 0.6250  0.07
6 Tb 0.6250 0.6250 0.6250  0.03

Calculated values
Space-group type: No. 227
ΔE to the lowest computed polymorph, eV per atom: 0.0000
DFT formation energy, kJ/mol of atoms: 26.4
Electronic total energy, eV/atom: -4.3830
Magnetization, μB/f.u.: 0.45


Record 5
Below is an optimized crystal structure of TbSm2, with properties calculated at the PBE level.

Cell lengths 9.0304, 9.0304, 9.0304 Å; angles 60.00, 60.00, 60.00 degrees
Element x y z (fractional)
1 Sm 0.8750 0.3750 0.3750
2 Sm 0.3750 0.8750 0.3750
3 Sm 0.3750 0.3750 0.3750
4 Sm 0.3750 0.3750 0.8750
5 Tb 0.2500 0.2500 0.2500
6 Tb 0.5000 0.5000 0.5000

Calculated values
Space-group type: No. 227
ΔE to the lowest computed polymorph, eV per atom: 2.0582
DFT formation energy, kJ/mol of atoms: 223.5
Electronic total energy, eV/atom: -2.3677
Magnetization, μB/f.u.: 0.07


Record 6
Below is an optimized crystal structure of Tb2Sm, with properties calculated at the PBE level.

Cell lengths 8.8863, 8.8863, 8.8863 Å; angles 60.00, 60.00, 60.00 degrees
Element x y z (fractional)
1 Sm 0.2500 0.2500 0.2500
2 Sm 0.5000 0.5000 0.5000
3 Tb 0.3750 0.3750 0.3750
4 Tb 0.8750 0.3750 0.3750
5 Tb 0.3750 0.8750 0.3750
6 Tb 0.3750 0.3750 0.8750

Calculated values
Space-group type: No. 227
ΔE to the lowest computed polymorph, eV per atom: 2.1919
DFT formation energy, kJ/mol of atoms: 237.9
Electronic total energy, eV/atom: -2.1911
Magnetization, μB/f.u.: 0.08


Record 7
Below is an optimized crystal structure of Tb2SmTc, with properties calculated at the PBE level.

Cell lengths 3.9362, 9.2413, 6.3503 Å; angles 90.00, 108.05, 90.00 degrees
Element x y z (fractional)
1 Sm 0.4269 0.7500 0.3540
2 Sm 0.5731 0.2500 0.6460
3 Tb 0.8542 0.0680 0.2083
4 Tb 0.8542 0.4320 0.2083
5 Tb 0.1458 0.5680 0.7917
6 Tb 0.1458 0.9320 0.7917
7 Tc 0.7607 0.7500 0.0218
8 Tc 0.2393 0.2500 0.9782

Calculated values
Space-group type: No. 63
DFT formation energy, kJ/mol of atoms: -6.6
Electronic total energy, eV/atom: -6.1513
Magnetization, μB/f.u.: 0.00


Record 8
Below is an optimized crystal structure of TbSm5Te6, with properties calculated at the PBE level.

Cell lengths 7.6876, 7.6876, 7.6531 Å; angles 99.64, 99.64, 120.16 degrees
Element x y z (fractional)
1 Sm 0.6674 0.3326 0.0000
2 Sm 0.3326 0.6674 0.0000
3 Sm 0.8288 0.1712 0.5000
4 Sm 0.5000 0.5000 0.5000
5 Sm 0.1712 0.8288 0.5000
6 Tb 0.0000 0.0000 0.0000
7 Te 0.4108 0.0826 0.2469
8 Te 0.0826 0.4108 0.2469
9 Te 0.7546 0.7546 0.2503
10 Te 0.2454 0.2454 0.7497
11 Te 0.9174 0.5892 0.7531
12 Te 0.5892 0.9174 0.7531

Calculated values
Space-group type: No. 12
Electronic total energy, eV/atom: -5.2936
Magnetization, μB/f.u.: 0.00